{
  "formula": "NiH12SO9",
  "functional": "GGA-PBEsol",
  "state": "optimized geometry",
  "vol_a3_per_atom": 8.41,
  "e_tot_ev_per_cell": -121.35,
  "total_magnetization_mub_per_atom": 0.087,
  "dos_ef_per_ev_atom": 0.000,
  "lattice": [[5.809, -0.001, -0.001], [-0.530, 5.785, -0.001], [-0.530, -0.581, 5.756]],
  "species": ["Ni", "H", "H", "H", "H", "H", "H", "H", "H", "H", "H", "H", "H", "S", "O", "O", "O", "O", "O", "O", "O", "O", "O"],
  "frac_coords": [[0.991, 0.991, 0.991], [0.972, 0.035, 0.450], [0.450, 0.972, 0.035], [0.035, 0.450, 0.972], [0.590, 0.929, 0.723], [0.929, 0.723, 0.590], [0.723, 0.590, 0.929], [0.356, 0.862, 0.261], [0.261, 0.356, 0.862], [0.862, 0.261, 0.356], [0.200, 0.813, 0.627], [0.813, 0.627, 0.200], [0.627, 0.200, 0.813], [0.499, 0.499, 0.499], [0.308, 0.906, 0.103], [0.103, 0.308, 0.906], [0.906, 0.103, 0.308], [0.041, 0.862, 0.656], [0.862, 0.656, 0.041], [0.656, 0.041, 0.862], [0.440, 0.755, 0.521], [0.755, 0.521, 0.440], [0.521, 0.440, 0.755]]
}